Entry 1:
CaLa2Cu: single point on PBEsol structure, SCAN.

Cell: 3.6930 3.6930 9.0208 Å, 90.00 90.00 90.00°
Last column: nearest neighbours and their distance in Å.
Sites, in units of the cell vectors:
La  0.0000  0.0000  0.3247  4 Cu 3.05, 1 La 3.16
La  0.0000  0.0000  0.6753  4 Cu 3.05, 1 La 3.16
Cu  0.5000  0.5000  0.5000  8 La 3.05
Ca  0.5000  0.5000  0.0000  4 Ca 3.69, 8 La 3.92

---

Entry 2:
KMnW2: single point on PBEsol structure, SCAN.

Cell: 4.6038 4.6038 4.6038 Å, 60.00 60.00 60.00°
Last column: nearest neighbours and their distance in Å.
Sites, in units of the cell vectors:
K  0.5000  0.5000  0.5000  4 W 2.82, 4 Mn 2.82
Mn  0.2500  0.2500  0.2500  4 K 2.82, 4 W 2.82
W  0.0000  0.0000  0.0000  4 Mn 2.82, 4 W 2.82
W  0.7500  0.7500  0.7500  4 W 2.82, 4 K 2.82

---

Entry 3:
Mn3ZnBi: single point on PBEsol structure, SCAN.

Cell: 4.5859 4.5859 4.5859 Å, 90.00 90.00 90.00°
Last column: nearest neighbours and their distance in Å.
Sites, in units of the cell vectors:
Bi  0.5000  0.5000  0.5000  12 Mn 3.24
Mn  0.0000  0.0000  0.5000  2 Zn 2.29
Mn  0.5000  0.0000  0.0000  2 Zn 2.29
Mn  0.0000  0.5000  0.0000  2 Zn 2.29
Zn  0.0000  0.0000  0.0000  6 Mn 2.29

---

Entry 4:
ZnBMo3: single point on PBEsol structure, SCAN.

Cell: 4.1395 4.1395 4.1395 Å, 90.00 90.00 90.00°
Last column: nearest neighbours and their distance in Å.
Sites, in units of the cell vectors:
Zn  0.5000  0.5000  0.5000  12 Mo 2.93
Mo  0.0000  0.0000  0.5000  2 B 2.07
Mo  0.5000  0.0000  0.0000  2 B 2.07
Mo  0.0000  0.5000  0.0000  2 B 2.07
B  0.0000  0.0000  0.0000  6 Mo 2.07

---

Entry 5:
CdSb2Se: single point on PBEsol structure, SCAN.

Calculated values
- Formation energy (no corrections): -95 meV per atom

Cell: 5.0988 5.0988 5.0988 Å, 107.25 110.60 110.60°
Last column: nearest neighbours and their distance in Å.
Sites, in units of the cell vectors:
Se  0.0000  0.5000  0.5000  4 Sb 2.90, 2 Cd 3.02
Cd  0.0000  0.0000  0.0000  4 Sb 2.90, 2 Se 3.02
Sb  0.5000  0.0000  0.5000  2 Se 2.90, 2 Cd 2.90, 2 Sb 3.02
Sb  0.5000  0.5000  0.0000  2 Cd 2.90, 2 Se 2.90, 2 Sb 3.02

---

Entry 6:
Mg3Al9FeSi5: single point on PBEsol structure, SCAN.

Calculated values
- Formation energy (no corrections): -95 meV per atom

Cell: 6.5949 6.5949 7.8015 Å, 90.00 90.00 120.00°
Last column: nearest neighbours and their distance in Å.
Sites, in units of the cell vectors:
Al  0.2484  0.2484  0.7770  1 Fe 2.39, 2 Si 2.53
Al  0.3767  0.0000  0.0000  1 Fe 2.48, 4 Si 2.77
Al  0.7516  0.0000  0.7770  1 Fe 2.39, 2 Si 2.53
Al  0.0000  0.7516  0.7770  1 Fe 2.39, 2 Si 2.53
Al  0.7516  0.0000  0.2230  1 Fe 2.39, 2 Si 2.53
Al  0.0000  0.7516  0.2230  1 Fe 2.39, 2 Si 2.53
Al  0.0000  0.3767  0.0000  1 Fe 2.48, 4 Si 2.77
Al  0.6233  0.6233  0.0000  1 Fe 2.48, 4 Si 2.77
Al  0.2484  0.2484  0.2230  1 Fe 2.39, 2 Si 2.53
Si  0.3333  0.6667  0.7634  6 Al 2.53-2.77
Si  0.3333  0.6667  0.2366  6 Al 2.53-2.77
Si  0.0000  0.0000  0.5000  6 Al 2.71, 3 Mg 2.76
Si  0.6667  0.3333  0.7634  6 Al 2.53-2.77
Si  0.6667  0.3333  0.2366  6 Al 2.53-2.77
Mg  0.5819  0.5819  0.5000  5 Si 2.76-2.85, 2 Al 3.08
Mg  0.4181  0.0000  0.5000  5 Si 2.76-2.85, 2 Al 3.08
Mg  0.0000  0.4181  0.5000  5 Si 2.76-2.85, 2 Al 3.08
Fe  0.0000  0.0000  0.0000  9 Al 2.39-2.48

---

Entry 7:
NiHgBr2: single point on PBEsol structure, SCAN.

Calculated values
- Formation energy (no corrections): -75 meV per atom

Cell: 3.4584 3.8014 8.5057 Å, 90.00 90.00 117.06°
Last column: nearest neighbours and their distance in Å.
Sites, in units of the cell vectors:
Br  0.0000  0.0000  0.9222  2 Ni 2.27
Br  0.5000  0.0000  0.2957  2 Hg 2.66
Ni  0.5000  0.0000  0.7490  2 Br 2.27, 2 Hg 2.52
Hg  0.0000  0.0000  0.5332  2 Ni 2.52, 2 Br 2.66

---

Entry 8:
TaAlIr2Os: single point on PBEsol structure, SCAN.

Cell: 4.3306 4.3306 4.3694 Å, 90.00 90.00 90.00°
Last column: nearest neighbours and their distance in Å.
Sites, in units of the cell vectors:
Os  0.0000  0.0000  0.5000  2 Al 2.18
Al  0.0000  0.0000  0.0000  4 Ir 2.17, 2 Os 2.18
Ir  0.0000  0.5000  0.0000  2 Al 2.17
Ir  0.5000  0.0000  0.0000  2 Al 2.17
Ta  0.5000  0.5000  0.5000  4 Os 3.06, 8 Ir 3.08

---

no.,V (A^3/atom),energy (eV/atom)
1,30.757,-27.8190
2,17.250,-39.9470
3,19.289,-29.0680
4,14.186,-24.7606
5,25.482,-31.3482
6,16.325,-8.5894
7,24.896,-30.8897
8,16.389,-56.8175